[1]
## Sc4Ta2S3N3 (PBE)

Data for a relaxed structure of Sc4Ta2S3N3.

As for the crystal system: monoclinic. The value obtained for the theoretical density is 6.818 g cm⁻³. The calculation puts the total energy at -8.777 eV per atom.

The structure belongs to space group C2/c (No. 15); the cell edges are 9.8873, 5.7383 and 12.1242 Å and the angles 90.00°, 105.64° and 90.00°. The distinct sites, in fractional coordinates, are Sc at (0.1172, 0.0821, 0.1018), Sc at (0.2154, 0.0840, 0.3982), Ta at (0.0528, 0.4172, 0.9092), S at (0.0000, 0.0987, 0.7500), S at (0.1589, 0.4237, 0.2502), N at (0.0845, 0.2457, 0.5001) and N at (0.2500, 0.2500, 0.0000).

[2]
## Rb2Na2HgP2 (PBE)

Data for a relaxed structure of Rb2Na2HgP2.

The polymorph energy (0 for the lowest one) is 0 meV per atom. As for the crystal system: trigonal. The value obtained for the theoretical density is 3.410 g cm⁻³.

The structure belongs to space group R-3m (No. 166, hexagonal axes); the cell edges are 5.2834, 5.2834 and 28.9732 Å and the angles 90.00°, 90.00° and 120.00°. The distinct sites, in fractional coordinates, are Rb at (0.0000, 0.0000, 0.2049), Na at (0.0000, 0.0000, 0.3911), Hg at (0.0000, 0.0000, 0.0000) and P at (0.0000, 0.0000, 0.0832).

[3]
## TlGaCu (PBE)

Data for a relaxed structure of TlGaCu.

As for the crystal system: cubic. The value obtained for the theoretical density is 8.371 g cm⁻³. The calculation puts the total energy at -2.645 eV per atom.

The structure belongs to space group F-43m (No. 216); the cell edges are 6.4467, 6.4467 and 6.4467 Å and the angles 90.00°, 90.00° and 90.00°. The distinct sites, in fractional coordinates, are Tl at (0.0000, 0.0000, 0.0000), Ga at (0.2500, 0.2500, 0.2500) and Cu at (0.2500, 0.2500, 0.7500).

What are the V values for these records? In order: 662.39; 700.40; 267.92 Å³ per cell.